First-principles (PBE) data for a geometry-optimized Cu2SbW structure, as listed in Alexandria.

a b c (Å): 3.335 3.335 5.706
angles (deg): 90.00 90.00 90.00
Space group P4mm (No. 99)
Asymmetric unit:
1 Cu 0.000 0.000 0.000 [1 per cell]
2 Cu 0.500 0.500 0.193 [1 per cell]
3 Sb 0.000 0.000 0.480 [1 per cell]
4 W 0.500 0.500 0.732 [1 per cell]

density = 11.3 Mg/m³
formation energy from raw total energies = 0.436 eV per atom